Record 1
NaNpFeS3 PBE relaxed; calculated total energy = -82.3 eV per cell; space-group type = P2_1/m (11); formation energy without anion corrections = -1004 meV per atom
1.0
3.844 0.000 0.000
0.000 8.047 0.561
0.000 -2.540 8.303
S Fe Na Np
6 2 2 2
Cartesian
2.883 0.211 4.428
0.961 5.296 4.436
2.883 6.835 1.750
0.961 -1.329 7.114
0.961 2.443 7.312
2.883 3.064 1.552
0.961 -0.812 4.878
2.883 6.319 3.986
2.883 4.597 6.993
0.961 0.909 1.871
0.961 4.998 1.750
2.883 0.509 7.114

Record 2
Na3Np2FeS6 PBE relaxed; calculated total energy = -76.3 eV per cell; space-group type = C2/m (12); formation energy without anion corrections = -1103 meV per atom
1.0
-6.377 -1.579 -1.361
4.217 -4.707 2.253
-0.983 3.571 5.972
S Fe Na Np
6 1 3 2
Cartesian
0.982 -1.191 2.112
-1.304 1.225 4.882
-4.126 -1.524 4.753
-0.712 -2.532 5.917
-2.431 -0.183 0.947
-1.840 -3.940 1.983
0.000 0.000 0.000
1.964 -2.401 4.639
-5.108 -0.313 2.226
-1.572 -1.357 3.432
-2.847 -2.621 -0.157
0.686 -3.664 1.049

Record 3
Na4Np3FeS8 PBE relaxed; calculated total energy = -104.1 eV per cell; space-group type = R-3m (166); formation energy without anion corrections = -1157 meV per atom
1.0
-5.173 -2.438 -5.370
2.095 -7.632 1.447
-2.370 4.517 5.963
S Np Fe Na
8 3 1 4
Cartesian
-4.625 -1.610 -0.544
-0.741 -2.681 -0.846
-4.707 -2.873 2.885
-0.823 -3.944 2.584
-3.468 -5.180 -0.037
-2.041 -1.616 5.653
-1.980 -0.373 2.077
-3.407 -3.937 -3.613
-2.724 -2.777 1.020
-1.539 -5.035 -1.961
-0.138 -1.558 3.705
1.047 -3.816 0.724
0.000 0.000 0.000
-3.771 1.039 0.296
-2.586 -1.219 -2.685
-1.185 2.258 2.981

Record 4
Na2Np2FeS6 PBE relaxed; calculated total energy = -73.3 eV per cell; space-group type = C2/m (12); formation energy without anion corrections = -1054 meV per atom
1.0
6.642 -0.035 0.074
-3.313 5.757 0.074
-1.167 -2.005 6.709
Np S Fe Na
2 6 1 2
Cartesian
2.718 0.906 3.428
-0.555 2.810 3.428
-1.684 0.816 4.818
1.542 -1.060 4.818
1.697 2.916 4.889
3.846 2.900 2.039
0.620 4.777 2.039
0.466 0.801 1.967
-0.583 -1.003 3.355
-1.665 4.798 0.074
4.994 0.924 0.074

Which spin magnetization belongs to each record? In order, 0.778 0.866 0.899 0.911 μB per atom.